Here is TbSm2Dy6Sc3 after structural relaxation from the Alexandria database. Energies are from PBE-GGA.

Lattice parameters (Å, degrees): 6.064 6.064 11.497 95.04 95.04 119.98
Atoms (fractional coordinates):
Tb1 0.000 0.000 0.000
Sm1 0.333 0.667 0.000
Sm2 0.667 0.333 0.000
Dy1 0.087 0.420 0.261
Dy2 0.246 0.246 0.739
Dy3 0.420 0.087 0.261
Dy4 0.580 0.913 0.739
Dy5 0.754 0.754 0.261
Dy6 0.913 0.580 0.739
Sc1 0.167 0.833 0.500
Sc2 0.500 0.500 0.500
Sc3 0.833 0.167 0.500

Total moment = 0.0 Bohr magnetons per cell
Total DFT energy (no corrections) = -60.14 eV/cell



Here is Tb2Sm6DySc3 after structural relaxation from the Alexandria database. Energies are from PBE-GGA.

Lattice parameters (Å, degrees): 6.124 6.124 11.510 95.08 95.08 119.98
Atoms (fractional coordinates):
Tb1 0.167 0.833 0.000
Tb2 0.833 0.167 0.000
Sm1 0.080 0.413 0.741
Sm2 0.253 0.253 0.259
Sm3 0.413 0.080 0.741
Sm4 0.587 0.920 0.259
Sm5 0.747 0.747 0.741
Sm6 0.920 0.587 0.259
Dy1 0.500 0.500 0.000
Sc1 0.000 0.000 0.500
Sc2 0.333 0.667 0.500
Sc3 0.667 0.333 0.500

Total moment = 0.0 Bohr magnetons per cell
Total DFT energy (no corrections) = -60.64 eV/cell



Here is Tb2SmDy6Sc after structural relaxation from the Alexandria database. Energies are from PBE-GGA.

Lattice parameters (Å, degrees): 8.695 8.695 9.435 93.79 93.79 117.31
Atoms (fractional coordinates):
Tb1 0.195 0.298 0.453
Tb2 0.298 0.195 0.953
Tb3 0.702 0.805 0.047
Tb4 0.805 0.702 0.547
Sm1 0.478 0.522 0.750
Sm2 0.522 0.478 0.250
Dy1 0.008 0.793 0.884
Dy2 0.064 0.506 0.689
Dy3 0.207 0.992 0.616
Dy4 0.251 0.626 0.056
Dy5 0.374 0.749 0.444
Dy6 0.494 0.936 0.811
Dy7 0.506 0.064 0.189
Dy8 0.626 0.251 0.556
Dy9 0.749 0.374 0.944
Dy10 0.793 0.008 0.384
Dy11 0.936 0.494 0.311
Dy12 0.992 0.207 0.116
Sc1 0.087 0.913 0.250
Sc2 0.913 0.087 0.750

Total moment = 0.0 Bohr magnetons per cell
Total DFT energy (no corrections) = -93.32 eV/cell



Here is Tb6Sm2DySc3 after structural relaxation from the Alexandria database. Energies are from PBE-GGA.

Lattice parameters (Å, degrees): 6.078 6.078 11.514 95.04 95.04 119.98
Atoms (fractional coordinates):
Tb1 0.087 0.420 0.761
Tb2 0.246 0.246 0.240
Tb3 0.420 0.087 0.761
Tb4 0.580 0.913 0.239
Tb5 0.754 0.754 0.760
Tb6 0.913 0.580 0.239
Sm1 0.333 0.667 0.500
Sm2 0.667 0.333 0.500
Dy1 0.000 0.000 0.500
Sc1 0.166 0.834 0.000
Sc2 0.500 0.500 0.000
Sc3 0.834 0.166 0.000

Total moment = 0.0 Bohr magnetons per cell
Total DFT energy (no corrections) = -60.28 eV/cell



Here is TbSm2DySc4 after structural relaxation from the Alexandria database. Energies are from PBE-GGA.

Lattice parameters (Å, degrees): 5.960 3.444 11.174 90.00 100.23 90.00
Atoms (fractional coordinates):
Tb1 0.000 0.000 0.000
Sm1 0.500 0.000 0.500
Sm2 0.500 0.500 0.000
Dy1 0.000 0.500 0.500
Sc1 0.249 0.000 0.750
Sc2 0.250 0.500 0.250
Sc3 0.750 0.500 0.750
Sc4 0.751 0.000 0.250

Total moment = 0.0 Bohr magnetons per cell
Total DFT energy (no corrections) = -43.51 eV/cell



Here is TbSmDy3Sc after structural relaxation from the Alexandria database. Energies are from PBE-GGA.

Lattice parameters (Å, degrees): 7.854 7.854 9.949 90.00 90.00 143.15
Atoms (fractional coordinates):
Tb1 0.000 0.000 0.000
Tb2 0.000 0.000 0.500
Sm1 0.498 0.502 0.750
Sm2 0.502 0.498 0.250
Dy1 0.169 0.831 0.750
Dy2 0.332 0.668 0.501
Dy3 0.332 0.668 0.999
Dy4 0.668 0.332 0.001
Dy5 0.668 0.332 0.499
Dy6 0.831 0.169 0.250
Sc1 0.168 0.832 0.250
Sc2 0.832 0.168 0.750

Total moment = 0.0 Bohr magnetons per cell
Total DFT energy (no corrections) = -58.54 eV/cell



Here is TbSm2Dy4Sc after structural relaxation from the Alexandria database. Energies are from PBE-GGA.

Lattice parameters (Å, degrees): 4.998 4.998 9.966 90.00 90.00 90.00
Atoms (fractional coordinates):
Tb1 0.000 0.000 0.000
Sm1 0.000 0.000 0.500
Sm2 0.500 0.500 0.000
Dy1 0.000 0.500 0.255
Dy2 0.000 0.500 0.745
Dy3 0.500 0.000 0.255
Dy4 0.500 0.000 0.745
Sc1 0.500 0.500 0.500

Total moment = 0.0 Bohr magnetons per cell
Total DFT energy (no corrections) = -38.56 eV/cell



Here is Tb5SmDySc2 after structural relaxation from the Alexandria database. Energies are from PBE-GGA.

Lattice parameters (Å, degrees): 11.107 11.107 9.356 90.00 90.00 150.75
Atoms (fractional coordinates):
Tb1 0.010 0.990 0.500
Tb2 0.266 0.734 0.819
Tb3 0.307 0.693 0.205
Tb4 0.392 0.608 0.532
Tb5 0.468 0.532 0.234
Tb6 0.532 0.468 0.734
Tb7 0.608 0.392 0.032
Tb8 0.693 0.307 0.705
Tb9 0.734 0.266 0.319
Tb10 0.990 0.010 0.000
Sm1 0.185 0.815 0.505
Sm2 0.815 0.185 0.005
Dy1 0.402 0.598 0.905
Dy2 0.598 0.402 0.405
Sc1 0.113 0.887 0.812
Sc2 0.136 0.864 0.187
Sc3 0.864 0.136 0.687
Sc4 0.887 0.113 0.312

Total moment = 0.0 Bohr magnetons per cell
Total DFT energy (no corrections) = -87.27 eV/cell